Density functional theory data (GGA-PBE) for a geometry-optimized TlSn structure.

Results
As for the total energy: -33.216 eV/cell. The value obtained for the energy of formation is 0.83 eV per formula unit. The crystal system is cubic. The space group is Pm-3n, No. 223.

Geometry as extended XYZ:
```
12
Lattice="8.3565 0.0000 0.0000 0.0000 8.3565 0.0000 0.0000 0.0000 8.3565" Properties=species:S:1:pos:R:3 pbc="T T T"
Tl 0.0000 2.0891 4.1783
Tl 0.0000 6.2674 4.1783
Tl 2.0891 4.1783 0.0000
Tl 4.1783 0.0000 2.0891
Tl 4.1783 0.0000 6.2674
Tl 6.2674 4.1783 0.0000
Sn 0.0000 4.1783 2.0891
Sn 0.0000 4.1783 6.2674
Sn 2.0891 0.0000 4.1783
Sn 4.1783 2.0891 0.0000
Sn 4.1783 6.2674 0.0000
Sn 6.2674 0.0000 4.1783
```